[1]
Pu5P4H: optimized geometry, PBE.

Lattice parameters (Å, degrees): 15.6032 15.6032 15.6032 14.59 14.59 14.59
Positions (direct):
Pu: 0.0000 0.0000 0.0000
Pu: 0.1928 0.1928 0.1928
Pu: 0.4038 0.4038 0.4038
Pu: 0.5962 0.5962 0.5962
Pu: 0.8072 0.8072 0.8072
P: 0.1071 0.1071 0.1071
P: 0.2977 0.2977 0.2977
P: 0.7023 0.7023 0.7023
P: 0.8929 0.8929 0.8929
H: 0.5000 0.5000 0.5000

Results
* ΔE to the lowest computed polymorph: 0 meV per atom
* size of the total moment: 3.95 μB/f.u.


[2]
LaMgInPt3: optimized geometry, PBE.

Lattice parameters (Å, degrees): 9.2534 9.2534 5.7307 90.00 90.00 143.80
Positions (direct):
La: 0.2327 0.7673 0.7500
La: 0.7673 0.2327 0.2500
Mg: 0.0993 0.9007 0.2500
Mg: 0.9007 0.0993 0.7500
In: 0.4017 0.5983 0.2500
In: 0.5983 0.4017 0.7500
Pt: 0.2397 0.2397 0.0000
Pt: 0.2397 0.2397 0.5000
Pt: 0.2492 0.7508 0.2500
Pt: 0.7508 0.2492 0.7500
Pt: 0.7603 0.7603 0.0000
Pt: 0.7603 0.7603 0.5000

Results
* size of the total moment: 0.00 μB/f.u.
* ΔE_f: -0.627 eV/atom


[3]
Cs2Rb2Cd: optimized geometry, PBE.

Lattice parameters (Å, degrees): 10.3833 10.3833 8.0563 90.00 90.00 90.00
Positions (direct):
Cs: 0.1597 0.3403 0.0000
Cs: 0.3403 0.8403 0.0000
Cs: 0.6597 0.1597 0.0000
Cs: 0.8403 0.6597 0.0000
Rb: 0.1737 0.6737 0.5000
Rb: 0.3263 0.1737 0.5000
Rb: 0.6737 0.8263 0.5000
Rb: 0.8263 0.3263 0.5000
Cd: 0.0000 0.0000 0.0000
Cd: 0.5000 0.5000 0.0000

Results
* ΔE to the lowest computed polymorph: 97 meV per atom
* size of the total moment: 0.00 μB/f.u.
* ΔE_f: 0.083 eV/atom


Computed values of electronic total energy (unit: eV per cell) for the preceding records, in sequence: -105.9; -62.3; -8.3.